{
  "formula": "ErTiZnAg",
  "functional": "PBE",
  "state": "relaxed",
  "cell": [[0.0000, 3.4121, 3.4121], [3.4121, 0.0000, 3.4121], [3.4121, 3.4121, 0.0000]],
  "species": ["Er", "Ti", "Zn", "Ag"],
  "fractional_positions": [[0.0000, 0.0000, 0.0000], [0.5000, 0.5000, 0.5000], [0.2500, 0.2500, 0.2500], [0.7500, 0.7500, 0.7500]],
  "crystal_system": "cubic",
  "magnetic_moment_mub_per_cell": 1.6,
  "n_ef_per_ev_cell": 3.415,
  "dft_energy_ev_per_atom": -4.233,
  "ef_ev_per_atom": -0.088
}



{
  "formula": "ErTl2Ag",
  "functional": "PBE",
  "state": "relaxed",
  "cell": [[4.8002, 0.0000, 0.0000], [0.0000, 4.8002, 0.0000], [0.0000, 0.0000, 4.2425]],
  "species": ["Er", "Tl", "Tl", "Ag"],
  "fractional_positions": [[0.0000, 0.0000, 0.0000], [0.0000, 0.5000, 0.5000], [0.5000, 0.0000, 0.5000], [0.5000, 0.5000, 0.0000]],
  "crystal_system": "tetragonal",
  "magnetic_moment_mub_per_cell": 0.0,
  "n_ef_per_ev_cell": 1.359,
  "dft_energy_ev_per_atom": -3.207,
  "ef_ev_per_atom": -0.170
}



{
  "formula": "Er5Tl4Ag",
  "functional": "PBE",
  "state": "relaxed",
  "cell": [[3.5989, 0.0000, 0.0000], [0.0000, 3.5989, 0.0000], [0.0000, 0.0000, 20.1506]],
  "species": ["Er", "Er", "Er", "Er", "Er", "Tl", "Tl", "Tl", "Tl", "Ag"],
  "fractional_positions": [[0.0000, 0.0000, 0.0000], [0.0000, 0.0000, 0.2063], [0.0000, 0.0000, 0.4112], [0.0000, 0.0000, 0.5888], [0.0000, 0.0000, 0.7937], [0.5000, 0.5000, 0.1031], [0.5000, 0.5000, 0.3089], [0.5000, 0.5000, 0.6911], [0.5000, 0.5000, 0.8969], [0.5000, 0.5000, 0.5000]],
  "crystal_system": "tetragonal",
  "magnetic_moment_mub_per_cell": 0.0,
  "n_ef_per_ev_cell": 5.278,
  "dft_energy_ev_per_atom": -3.844,
  "ef_ev_per_atom": -0.331
}



{
  "formula": "ErTlAg2",
  "functional": "PBE",
  "state": "relaxed",
  "cell": [[4.5404, 0.0000, 0.0000], [0.0000, 4.5404, 0.0000], [0.0000, 0.0000, 4.3953]],
  "species": ["Er", "Tl", "Ag", "Ag"],
  "fractional_positions": [[0.0000, 0.0000, 0.0000], [0.5000, 0.5000, 0.0000], [0.0000, 0.5000, 0.5000], [0.5000, 0.0000, 0.5000]],
  "crystal_system": "tetragonal",
  "magnetic_moment_mub_per_cell": 0.0,
  "n_ef_per_ev_cell": 2.683,
  "dft_energy_ev_per_atom": -3.287,
  "ef_ev_per_atom": -0.129
}



{
  "formula": "Er5TlAg4",
  "functional": "PBE",
  "state": "relaxed",
  "cell": [[3.5887, 0.0000, 0.0000], [0.0000, 3.5887, 0.0000], [0.0000, 0.0000, 18.7034]],
  "species": ["Er", "Er", "Er", "Er", "Er", "Tl", "Ag", "Ag", "Ag", "Ag"],
  "fractional_positions": [[0.0000, 0.0000, 0.0000], [0.0000, 0.0000, 0.1948], [0.0000, 0.0000, 0.3889], [0.0000, 0.0000, 0.6111], [0.0000, 0.0000, 0.8052], [0.5000, 0.5000, 0.5000], [0.5000, 0.5000, 0.0972], [0.5000, 0.5000, 0.2924], [0.5000, 0.5000, 0.7076], [0.5000, 0.5000, 0.9028]],
  "crystal_system": "tetragonal",
  "magnetic_moment_mub_per_cell": 0.0,
  "n_ef_per_ev_cell": 6.312,
  "dft_energy_ev_per_atom": -3.989,
  "ef_ev_per_atom": -0.331
}



{
  "formula": "Er2TlAg",
  "functional": "PBE",
  "state": "relaxed",
  "cell": [[3.6317, 0.0000, 0.0000], [0.0000, 3.6317, 0.0000], [0.0000, 0.0000, 7.6062]],
  "species": ["Er", "Er", "Tl", "Ag"],
  "fractional_positions": [[0.0000, 0.0000, 0.2347], [0.0000, 0.0000, 0.7653], [0.5000, 0.5000, 0.5000], [0.5000, 0.5000, 0.0000]],
  "crystal_system": "tetragonal",
  "magnetic_moment_mub_per_cell": 0.0,
  "n_ef_per_ev_cell": 3.112,
  "dft_energy_ev_per_atom": -3.918,
  "ef_ev_per_atom": -0.332,
  "relative_energy_ev_per_fu": 0.011
}



{
  "formula": "Er3Tl2Ag4",
  "functional": "PBE",
  "state": "relaxed",
  "cell": [[5.4065, -2.4390, 0.0000], [5.4065, 2.4390, 0.0000], [-4.6055, 0.0000, 7.8309]],
  "species": ["Er", "Er", "Er", "Tl", "Tl", "Ag", "Ag", "Ag", "Ag"],
  "fractional_positions": [[0.0000, 0.0000, 0.0000], [0.3379, 0.3379, 0.3264], [0.6621, 0.6621, 0.6736], [0.3803, 0.3803, 0.7162], [0.6197, 0.6197, 0.2838], [0.0542, 0.0542, 0.3908], [0.2705, 0.2705, 0.9429], [0.7295, 0.7295, 0.0571], [0.9458, 0.9458, 0.6092]],
  "crystal_system": "monoclinic",
  "magnetic_moment_mub_per_cell": 0.0,
  "n_ef_per_ev_cell": 5.005,
  "dft_energy_ev_per_atom": -3.557,
  "ef_ev_per_atom": -0.243
}



{
  "formula": "Er6Tl5Ag",
  "functional": "PBE",
  "state": "relaxed",
  "cell": [[3.1854, -5.5742, 0.0000], [3.1854, 5.5742, 0.0000], [-2.2226, 0.0000, 9.4791]],
  "species": ["Er", "Er", "Er", "Er", "Er", "Er", "Tl", "Tl", "Tl", "Tl", "Tl", "Ag"],
  "fractional_positions": [[0.0786, 0.4055, 0.7433], [0.2421, 0.2421, 0.2466], [0.4055, 0.0786, 0.7433], [0.5945, 0.9214, 0.2567], [0.7579, 0.7579, 0.7534], [0.9214, 0.5945, 0.2567], [0.1739, 0.8261, 0.0000], [0.3414, 0.6586, 0.5000], [0.5000, 0.5000, 0.0000], [0.6586, 0.3414, 0.5000], [0.8261, 0.1739, 0.0000], [0.0000, 0.0000, 0.5000]],
  "crystal_system": "monoclinic",
  "magnetic_moment_mub_per_cell": 0.0,
  "n_ef_per_ev_cell": 8.401,
  "dft_energy_ev_per_atom": -3.722,
  "ef_ev_per_atom": -0.217,
  "relative_energy_ev_per_fu": 1.170
}



{
  "formula": "Er5Tl3Ag12",
  "functional": "PBE",
  "state": "relaxed",
  "cell": [[-8.3335, 8.3335, 8.3335], [8.3335, -8.3335, 8.3335], [8.3335, 8.3335, -8.3335]],
  "species": ["Er", "Er", "Er", "Er", "Er", "Er", "Er", "Er", "Er", "Er", "Er", "Er", "Er", "Er", "Er", "Er", "Er", "Er", "Er", "Er", "Tl", "Tl", "Tl", "Tl", "Tl", "Tl", "Tl", "Tl", "Tl", "Tl", "Tl", "Tl", "Ag", "Ag", "Ag", "Ag", "Ag", "Ag", "Ag", "Ag", "Ag", "Ag", "Ag", "Ag", "Ag", "Ag", "Ag", "Ag", "Ag", "Ag", "Ag", "Ag", "Ag", "Ag", "Ag", "Ag", "Ag", "Ag", "Ag", "Ag", "Ag", "Ag", "Ag", "Ag", "Ag", "Ag", "Ag", "Ag", "Ag", "Ag", "Ag", "Ag", "Ag", "Ag", "Ag", "Ag", "Ag", "Ag", "Ag", "Ag"],
  "fractional_positions": [[0.0000, 0.0000, 0.0000], [0.0000, 0.0000, 0.5000], [0.0000, 0.5000, 0.0000], [0.0000, 0.5000, 0.5000], [0.1250, 0.7500, 0.8750], [0.1250, 0.8750, 0.2500], [0.2500, 0.1250, 0.8750], [0.2500, 0.6250, 0.3750], [0.3750, 0.2500, 0.6250], [0.3750, 0.6250, 0.7500], [0.5000, 0.0000, 0.0000], [0.5000, 0.0000, 0.5000], [0.5000, 0.5000, 0.0000], [0.5000, 0.5000, 0.5000], [0.6250, 0.3750, 0.2500], [0.6250, 0.7500, 0.3750], [0.7500, 0.3750, 0.6250], [0.7500, 0.8750, 0.1250], [0.8750, 0.1250, 0.7500], [0.8750, 0.2500, 0.1250], [0.1250, 0.2500, 0.3750], [0.1250, 0.3750, 0.7500], [0.2500, 0.3750, 0.1250], [0.2500, 0.8750, 0.6250], [0.3750, 0.1250, 0.2500], [0.3750, 0.7500, 0.1250], [0.6250, 0.2500, 0.8750], [0.6250, 0.8750, 0.7500], [0.7500, 0.1250, 0.3750], [0.7500, 0.6250, 0.8750], [0.8750, 0.6250, 0.2500], [0.8750, 0.7500, 0.6250], [0.0694, 0.6448, 0.4107], [0.0694, 0.9246, 0.6587], [0.0754, 0.2340, 0.1448], [0.0754, 0.3413, 0.9306], [0.0893, 0.7340, 0.6587], [0.0893, 0.8552, 0.4306], [0.1448, 0.0754, 0.2340], [0.1448, 0.5694, 0.9107], [0.1587, 0.2340, 0.5893], [0.1587, 0.4246, 0.5694], [0.2340, 0.1448, 0.0754], [0.2340, 0.5893, 0.1587], [0.2660, 0.3413, 0.9107], [0.2660, 0.4246, 0.3552], [0.3413, 0.9107, 0.2660], [0.3413, 0.9306, 0.0754], [0.3552, 0.2660, 0.4246], [0.3552, 0.5893, 0.9306], [0.4107, 0.0694, 0.6448], [0.4107, 0.8413, 0.7660], [0.4246, 0.3552, 0.2660], [0.4246, 0.5694, 0.1587], [0.4306, 0.0893, 0.8552], [0.4306, 0.8413, 0.5754], [0.5694, 0.1587, 0.4246], [0.5694, 0.9107, 0.1448], [0.5754, 0.4306, 0.8413], [0.5754, 0.6448, 0.7340], [0.5893, 0.1587, 0.2340], [0.5893, 0.9306, 0.3552], [0.6448, 0.4107, 0.0694], [0.6448, 0.7340, 0.5754], [0.6587, 0.0694, 0.9246], [0.6587, 0.0893, 0.7340], [0.7340, 0.5754, 0.6448], [0.7340, 0.6587, 0.0893], [0.7660, 0.4107, 0.8413], [0.7660, 0.8552, 0.9246], [0.8413, 0.5754, 0.4306], [0.8413, 0.7660, 0.4107], [0.8552, 0.4306, 0.0893], [0.8552, 0.9246, 0.7660], [0.9107, 0.1448, 0.5694], [0.9107, 0.2660, 0.3413], [0.9246, 0.6587, 0.0694], [0.9246, 0.7660, 0.8552], [0.9306, 0.0754, 0.3413], [0.9306, 0.3552, 0.5893]],
  "crystal_system": "cubic",
  "magnetic_moment_mub_per_cell": 0.0,
  "n_ef_per_ev_cell": 52.133,
  "dft_energy_ev_per_atom": -2.842,
  "ef_ev_per_atom": 0.365
}



{
  "formula": "Er4Tl2Ag",
  "functional": "PBE",
  "state": "relaxed",
  "cell": [[6.9651, 0.0000, 0.0000], [0.0000, 6.6865, 0.0000], [-3.0369, 0.0000, 8.4525]],
  "species": ["Er", "Er", "Er", "Er", "Er", "Er", "Er", "Er", "Tl", "Tl", "Tl", "Tl", "Ag", "Ag"],
  "fractional_positions": [[0.0856, 0.2500, 0.0501], [0.1757, 0.0084, 0.7273], [0.1757, 0.4916, 0.7273], [0.3203, 0.7500, 0.3509], [0.6797, 0.2500, 0.6491], [0.8243, 0.5084, 0.2727], [0.8243, 0.9916, 0.2727], [0.9144, 0.7500, 0.9499], [0.2063, 0.2500, 0.4383], [0.4267, 0.7500, 0.0365], [0.5733, 0.2500, 0.9635], [0.7937, 0.7500, 0.5617], [0.4955, 0.2500, 0.2839], [0.5045, 0.7500, 0.7161]],
  "crystal_system": "monoclinic",
  "magnetic_moment_mub_per_cell": 0.0,
  "n_ef_per_ev_cell": 13.275,
  "dft_energy_ev_per_atom": -3.829,
  "ef_ev_per_atom": -0.139,
  "relative_energy_ev_per_fu": 0.443
}